1.
This record from Alexandria describes crystalline BeTl2C2O6 at its relaxed geometry. The functional is PBE-GGA.

Properties
* ΔE_f (raw): -129.9 kJ/mol of atoms

a = 11.7609 Å, b = 4.6705 Å, c = 6.7515 Å
α = 90.00°, β = 115.86°, γ = 90.00°
Closest atoms and distances in Å follow each position.
Space group C2/m (No. 12)
One atom of each set of equivalent atoms:
Be (0.0000, 0.0000, 0.0000)  4 O 1.73
Tl (0.1987, 0.0000, 0.6904)  5 O 2.80-3.05
C (0.0212, 0.5000, 0.8171)  3 O 1.28-1.31
O (0.0400, 0.2588, 0.2029)  1 C 1.31
O (0.1371, 0.5000, 0.8511)  1 C 1.28

2.
This record from Alexandria describes crystalline Rb2RuF at its relaxed geometry. The functional is PBE-GGA.

Properties
* ΔE_f (raw): 22.2 kJ/mol of atoms
* excess energy over the best structure of this formula in the dataset: 119 kJ/mol of formula units

a = 8.1154 Å, b = 8.1154 Å, c = 8.1154 Å
α = 90.00°, β = 90.00°, γ = 90.00°
Closest atoms and distances in Å follow each position.
Space group Fm-3m (No. 225)
One atom of each set of equivalent atoms:
Rb (0.2500, 0.2500, 0.2500)  4 F 3.51, 4 Ru 3.51
Ru (0.0000, 0.0000, 0.0000)  8 Rb 3.51
F (0.0000, 0.0000, 0.5000)  8 Rb 3.51

3.
This record from Alexandria describes crystalline CuBiTe2N at its relaxed geometry. The functional is PBE-GGA.

Properties
* ΔE_f (raw): 62.0 kJ/mol of atoms
* excess energy over the best structure of this formula in the dataset: 0 kJ/mol of formula units

a = 5.5277 Å, b = 5.5277 Å, c = 3.7158 Å
α = 90.00°, β = 90.00°, γ = 90.00°
Closest atoms and distances in Å follow each position.
Space group P4/mmm (No. 123)
One atom of each set of equivalent atoms:
Cu (0.0000, 0.0000, 0.0000)  2 N 1.86
Bi (0.5000, 0.5000, 0.5000)  8 Te 3.33, 2 Bi 3.72
Te (0.0000, 0.5000, 0.0000)  2 Cu 2.76
N (0.0000, 0.0000, 0.5000)  2 Cu 1.86

4.
This record from Alexandria describes crystalline NaSc2TcH at its relaxed geometry. The functional is PBE-GGA.

a = 5.1850 Å, b = 5.1850 Å, c = 4.6622 Å
α = 90.00°, β = 90.00°, γ = 90.00°
Closest atoms and distances in Å follow each position.
Space group P4/mmm (No. 123)
One atom of each set of equivalent atoms:
Na (0.0000, 0.0000, 0.0000)  2 Tc 2.33, 4 Sc 2.59
Sc (0.0000, 0.5000, 0.0000)  2 Na 2.59
Tc (0.0000, 0.0000, 0.5000)  2 Na 2.33
H (0.5000, 0.5000, 0.5000)  8 Sc 3.49, 4 Tc 3.67

Number 1: final energy -6.497 eV/atom. Number 2: final energy -3.041 eV/atom. Number 3: final energy -3.875 eV/atom. Number 4: final energy -3.575 eV/atom.